A plane-wave DFT calculation with PBE was carried out for a geometry-optimized Zn2SiBi2 structure.

For the raw total energy, the calculation gives -28.486 eV for the cell shown. For the uncorrected formation energy, the calculation gives 0.298 eV per atom.

```
Zn2SiBi2
1.0
6.6407 0.0000 0.0000
0.0000 6.6407 0.0000
0.0000 0.0000 5.2110
Zn Si Bi
4 2 4
Direct
0.3636 0.8636 0.0000
0.8636 0.6364 0.0000
0.6364 0.1364 0.0000
0.1364 0.3636 0.0000
0.0000 0.0000 0.0000
0.5000 0.5000 0.0000
0.1926 0.6926 0.5000
0.6926 0.8074 0.5000
0.8074 0.3074 0.5000
0.3074 0.1926 0.5000
```